# meta-GGA SCAN HgW2Se, PBEsol geometry
data_HgW2Se
_chemical_formula_sum 'Hg2 W4 Se2'
_cell_length_a 3.033
_cell_length_b 4.818
_cell_length_c 9.340
_cell_angle_alpha 90.00
_cell_angle_beta 90.00
_cell_angle_gamma 90.00
_space_group_name_H-M_alt 'I m m m'
_space_group_IT_number 71
_space_group_name_Hall '-I 2 2'
loop_
_atom_site_label
_atom_site_fract_x
_atom_site_fract_y
_atom_site_fract_z
Hg1 0.000 0.000 0.000
W1 0.000 0.500 0.219
Se1 0.000 0.000 0.500
# Energy above the most stable polymorph in this dataset = 86 meV/atom


# meta-GGA SCAN HgW2Se, PBEsol geometry
data_HgW2Se
_chemical_formula_sum 'Hg2 W4 Se2'
_cell_length_a 8.431
_cell_length_b 2.962
_cell_length_c 5.511
_cell_angle_alpha 90.00
_cell_angle_beta 100.57
_cell_angle_gamma 90.00
_space_group_name_H-M_alt 'C 1 2/m 1'
_space_group_IT_number 12
loop_
_space_group_symop_operation_xyz
'x,y,z'
'-x,-y,-z'
'-x,y,-z'
'x,-y,z'
'x+1/2,y+1/2,z'
'-x+1/2,-y+1/2,-z'
'-x+1/2,y+1/2,-z'
'x+1/2,-y+1/2,z'
loop_
_atom_site_label
_atom_site_fract_x
_atom_site_fract_y
_atom_site_fract_z
Hg1 0.000 0.000 0.000
W1 0.245 0.000 0.721
Se1 0.000 0.500 0.500
# Energy above the most stable polymorph in this dataset = 0 meV/atom


# meta-GGA SCAN YHgSe, PBEsol geometry
data_YHgSe
_chemical_formula_sum 'Y4 Hg4 Se4'
_cell_length_a 6.818
_cell_length_b 6.818
_cell_length_c 6.818
_cell_angle_alpha 90.00
_cell_angle_beta 90.00
_cell_angle_gamma 90.00
_space_group_name_H-M_alt 'F -4 3 m'
_space_group_IT_number 216
_space_group_name_Hall 'F -4 2 3'
loop_
_atom_site_label
_atom_site_fract_x
_atom_site_fract_y
_atom_site_fract_z
Y1 0.000 0.000 0.000
Hg1 0.000 0.000 0.500
Se1 0.250 0.250 0.250
# Uncorrected energy = -39.4891 eV/atom


# meta-GGA SCAN ZnHgSe, PBEsol geometry
data_ZnHgSe
_chemical_formula_sum 'Zn1 Hg1 Se1'
_cell_length_a 3.8331
_cell_length_b 3.8331
_cell_length_c 5.1788
_cell_angle_alpha 90.00
_cell_angle_beta 90.00
_cell_angle_gamma 120.00
_space_group_name_H-M_alt 'P 3 m 1'
_space_group_IT_number 156
loop_
_space_group_symop_operation_xyz
'x,y,z'
'-y,x-y,z'
'-x+y,-x,z'
'-y,-x,z'
'-x+y,y,z'
'x,x-y,z'
loop_
_atom_site_label
_atom_site_fract_x
_atom_site_fract_y
_atom_site_fract_z
Zn1 0.0000 0.0000 0.0000
Hg1 0.6667 0.3333 0.3672
Se1 0.3333 0.6667 0.7996
# Energy above the most stable polymorph in this dataset = 0 meV/atom


# meta-GGA SCAN ZnHg2Se, PBEsol geometry
data_ZnHg2Se
_chemical_formula_sum 'Zn2 Hg4 Se2'
_cell_length_a 3.869
_cell_length_b 3.869
_cell_length_c 12.022
_cell_angle_alpha 90.00
_cell_angle_beta 90.00
_cell_angle_gamma 90.00
_space_group_name_H-M_alt 'I 4/m m m'
_space_group_IT_number 139
_space_group_name_Hall '-I 4 2'
loop_
_atom_site_label
_atom_site_fract_x
_atom_site_fract_y
_atom_site_fract_z
Zn1 0.000 0.000 0.000
Hg1 0.000 0.500 0.250
Se1 0.000 0.000 0.500
# Energy above the most stable polymorph in this dataset = 0 meV/atom


# meta-GGA SCAN ZnHg2Se, PBEsol geometry
data_ZnHg2Se
_chemical_formula_sum 'Zn1 Hg2 Se1'
_cell_length_a 2.753
_cell_length_b 3.850
_cell_length_c 7.924
_cell_angle_alpha 90.00
_cell_angle_beta 90.00
_cell_angle_gamma 90.00
_space_group_name_H-M_alt 'P m m m'
_space_group_IT_number 47
loop_
_space_group_symop_operation_xyz
'x,y,z'
'-x,-y,-z'
'-x,-y,z'
'x,y,-z'
'x,-y,-z'
'-x,y,z'
'-x,y,-z'
'x,-y,z'
loop_
_atom_site_label
_atom_site_fract_x
_atom_site_fract_y
_atom_site_fract_z
Zn1 0.000 0.000 0.000
Hg1 0.500 0.500 0.224
Se1 0.000 0.000 0.500
# Energy above the most stable polymorph in this dataset = 160 meV/atom


# meta-GGA SCAN ZnHgSe, PBEsol geometry
data_ZnHgSe
_chemical_formula_sum 'Zn4 Hg4 Se4'
_cell_length_a 6.389
_cell_length_b 6.389
_cell_length_c 6.389
_cell_angle_alpha 90.00
_cell_angle_beta 90.00
_cell_angle_gamma 90.00
_space_group_name_H-M_alt 'F -4 3 m'
_space_group_IT_number 216
_space_group_name_Hall 'F -4 2 3'
loop_
_atom_site_label
_atom_site_fract_x
_atom_site_fract_y
_atom_site_fract_z
Zn1 0.000 0.000 0.000
Hg1 0.250 0.250 0.250
Se1 0.250 0.250 0.750
# Energy above the most stable polymorph in this dataset = 248 meV/atom


# meta-GGA SCAN ZnHg2Se, PBEsol geometry
data_ZnHg2Se
_chemical_formula_sum 'Zn1 Hg2 Se1'
_cell_length_a 3.985
_cell_length_b 3.985
_cell_length_c 5.420
_cell_angle_alpha 90.00
_cell_angle_beta 90.00
_cell_angle_gamma 90.00
_space_group_name_H-M_alt 'P 4/m m m'
_space_group_IT_number 123
_space_group_name_Hall '-P 4 2'
loop_
_atom_site_label
_atom_site_fract_x
_atom_site_fract_y
_atom_site_fract_z
Zn1 0.000 0.000 0.000
Hg1 0.500 0.500 0.248
Se1 0.000 0.000 0.500
# Energy above the most stable polymorph in this dataset = 146 meV/atom


# meta-GGA SCAN Zn2HgSe, PBEsol geometry
data_Zn2HgSe
_chemical_formula_sum 'Zn2 Hg1 Se1'
_cell_length_a 2.833
_cell_length_b 3.568
_cell_length_c 7.418
_cell_angle_alpha 90.00
_cell_angle_beta 90.00
_cell_angle_gamma 90.00
_space_group_name_H-M_alt 'P m m m'
_space_group_IT_number 47
loop_
_space_group_symop_operation_xyz
'x,y,z'
'-x,-y,-z'
'-x,-y,z'
'x,y,-z'
'x,-y,-z'
'-x,y,z'
'-x,y,-z'
'x,-y,z'
loop_
_atom_site_label
_atom_site_fract_x
_atom_site_fract_y
_atom_site_fract_z
Zn1 0.000 0.000 0.245
Hg1 0.500 0.500 0.000
Se1 0.000 0.500 0.500
# Uncorrected energy = -28.7900 eV/atom


# meta-GGA SCAN ZrHgSe3, PBEsol geometry
data_ZrHgSe3
_chemical_formula_sum 'Zr1 Hg1 Se3'
_cell_length_a 5.053
_cell_length_b 5.053
_cell_length_c 5.053
_cell_angle_alpha 90.00
_cell_angle_beta 90.00
_cell_angle_gamma 90.00
_space_group_name_H-M_alt 'P m -3 m'
_space_group_IT_number 221
_space_group_name_Hall '-P 4 2 3'
loop_
_atom_site_label
_atom_site_fract_x
_atom_site_fract_y
_atom_site_fract_z
Zr1 0.000 0.000 0.000
Hg1 0.500 0.500 0.500
Se1 0.000 0.500 0.500
# Uncorrected energy = -31.3492 eV/atom


# meta-GGA SCAN Zr3HgSe, PBEsol geometry
data_Zr3HgSe
_chemical_formula_sum 'Zr3 Hg1 Se1'
_cell_length_a 5.198
_cell_length_b 5.198
_cell_length_c 5.198
_cell_angle_alpha 90.00
_cell_angle_beta 90.00
_cell_angle_gamma 90.00
_space_group_name_H-M_alt 'P m -3 m'
_space_group_IT_number 221
_space_group_name_Hall '-P 4 2 3'
loop_
_atom_site_label
_atom_site_fract_x
_atom_site_fract_y
_atom_site_fract_z
Zr1 0.000 0.000 0.500
Hg1 0.000 0.000 0.000
Se1 0.500 0.500 0.500
# Uncorrected energy = -35.3478 eV/atom


# meta-GGA SCAN SiHg2, PBEsol geometry
data_SiHg2
_chemical_formula_sum 'Si2 Hg4'
_cell_length_a 4.601
_cell_length_b 4.601
_cell_length_c 6.242
_cell_angle_alpha 90.00
_cell_angle_beta 90.00
_cell_angle_gamma 90.00
_space_group_name_H-M_alt 'P 4/n m m'
_space_group_IT_number 129
loop_
_space_group_symop_operation_xyz
'x,y,z'
'-x,-y,-z'
'-y+1/2,x,z'
'y+1/2,-x,-z'
'-x+1/2,-y+1/2,z'
'x+1/2,y+1/2,-z'
'y,-x+1/2,z'
'-y,x+1/2,-z'
'x+1/2,-y,-z'
'-x+1/2,y,z'
'-y,-x,-z'
'y,x,z'
'-x,y+1/2,-z'
'x,-y+1/2,z'
'y+1/2,x+1/2,-z'
'-y+1/2,-x+1/2,z'
loop_
_atom_site_label
_atom_site_fract_x
_atom_site_fract_y
_atom_site_fract_z
Si1 0.250 0.250 0.241
Hg1 0.250 0.250 0.646
Hg2 0.250 0.750 0.000
# Energy above the most stable polymorph in this dataset = 0 meV/atom


no.,V (Å³/cell)
1,136
2,135
3,317
4,66
5,180
6,84
7,261
8,86
9,75
10,129
11,140
12,132